## w
Material: Pm8NdTl2
Method: DFT, PBE
State: relaxed

```
Pm8NdTl2
1.0
4.991 -0.001 -1.612
-1.151 7.521 -3.564
0.190 0.750 9.124
Pm Nd Tl
8 1 2
direct
0.601 0.465 0.201
0.314 0.052 0.628
0.147 0.206 0.294
0.052 0.738 0.104
0.853 0.794 0.706
0.686 0.948 0.372
0.399 0.535 0.799
0.948 0.262 0.896
0.500 0.000 0.000
0.222 0.641 0.444
0.778 0.359 0.556
```

Results
D(E_F)   14.52 states/eV per cell
Volume   32.69 Å³ per atom
Density   7.912 Mg/m³

## x
Material: Pm8NdTl2
Method: DFT, PBE
State: relaxed

```
Pm8NdTl2
1.0
6.137 0.927 0.647
2.666 9.426 2.451
2.666 5.545 8.007
Pm Nd Tl
8 1 2
direct
0.230 0.086 0.565
0.230 0.565 0.086
0.770 0.914 0.435
0.265 0.496 0.496
0.770 0.435 0.914
0.320 0.131 0.131
0.680 0.869 0.869
0.735 0.504 0.504
0.000 0.000 0.000
0.750 0.323 0.323
0.250 0.677 0.677
```

Results
D(E_F)   15.61 states/eV per cell
Volume   32.67 Å³ per atom
Density   7.915 Mg/m³

Of them, w has the highest stability.